[1]
DFT (PBE-GGA) results for LiCu2Ag after structural relaxation.

Cell lengths 8.7878, 8.7878, 8.7878 Å; angles 18.11, 18.11, 18.11 degrees
With the nearest neighbours (Å) after each atom.
Atoms (fractional coordinates):
Li: 0.0000 0.0000 0.0000  6 Cu 2.63, 6 Li 2.77
Cu: 0.2529 0.2529 0.2529  3 Li 2.63, 3 Ag 2.75, 6 Cu 2.77
Cu: 0.7471 0.7471 0.7471  3 Li 2.63, 3 Ag 2.75, 6 Cu 2.77
Ag: 0.5000 0.5000 0.5000  6 Cu 2.75, 6 Ag 2.77

Summary:
DFT formation energy = 11.0 kJ per mole of atoms
Distance to the lowest polymorph of the same formula = 148 meV/atom
Energy = -3.13 eV per atom

***

[2]
DFT (PBE-GGA) results for Li6Cu2Ag after structural relaxation.

Cell lengths 4.3595, 4.3595, 8.0776 Å; angles 92.75, 92.75, 61.39 degrees
With the nearest neighbours (Å) after each atom.
Atoms (fractional coordinates):
Li: 0.0052 0.0052 0.3501  3 Li 2.43-2.71, 3 Cu 2.67-2.72
Li: 0.3312 0.3312 0.8775  4 Li 2.68-2.85, 3 Ag 2.72, 1 Cu 2.72
Li: 0.3378 0.3378 0.2310  1 Cu 2.50, 6 Li 2.68-2.72
Li: 0.6622 0.6622 0.7690  1 Cu 2.50, 6 Li 2.68-2.72
Li: 0.6688 0.6688 0.1225  4 Li 2.68-2.85, 3 Ag 2.72, 1 Cu 2.72
Li: 0.9948 0.9948 0.6499  3 Li 2.43-2.71, 3 Cu 2.67-2.72
Cu: 0.3308 0.3308 0.5406  5 Li 2.50-2.72, 3 Cu 2.60-2.66
Cu: 0.6692 0.6692 0.4594  5 Li 2.50-2.72, 3 Cu 2.60-2.66
Ag: 0.0000 0.0000 0.0000  8 Li 2.72-2.83

Summary:
DFT formation energy = -6.9 kJ per mole of atoms
Distance to the lowest polymorph of the same formula = 0 meV/atom
Energy = -2.57 eV per atom

***

[3]
DFT (PBE-GGA) results for Li2CuAg6 after structural relaxation.

Cell lengths 4.8755, 4.8755, 8.4727 Å; angles 103.39, 103.39, 50.18 degrees
With the nearest neighbours (Å) after each atom.
Atoms (fractional coordinates):
Li: 0.1676 0.1676 0.2207  10 Ag 2.72-2.93, 2 Cu 2.92
Li: 0.8324 0.8324 0.7793  10 Ag 2.72-2.93, 2 Cu 2.92
Cu: 0.5000 0.5000 0.0000  8 Ag 2.72-2.87, 4 Li 2.92
Ag: 0.1644 0.1644 0.8984  4 Li 2.72-2.87, 3 Cu 2.79-2.87, 5 Ag 2.86-2.91
Ag: 0.1658 0.1658 0.5558  9 Ag 2.84-2.98, 3 Li 2.84-2.93
Ag: 0.4995 0.4995 0.6787  1 Cu 2.72, 3 Li 2.80-2.84, 8 Ag 2.86-3.03
Ag: 0.5005 0.5005 0.3213  1 Cu 2.72, 3 Li 2.80-2.84, 8 Ag 2.86-3.03
Ag: 0.8342 0.8342 0.4442  9 Ag 2.84-2.98, 3 Li 2.84-2.93
Ag: 0.8356 0.8356 0.1016  4 Li 2.72-2.87, 3 Cu 2.79-2.87, 5 Ag 2.86-2.91

Summary:
DFT formation energy = -7.9 kJ per mole of atoms
Distance to the lowest polymorph of the same formula = 0 meV/atom
Energy = -2.86 eV per atom

***

[4]
DFT (PBE-GGA) results for Li4CuAg3 after structural relaxation.

Cell lengths 3.1246, 3.1246, 12.5736 Å; angles 90.00, 90.00, 90.00 degrees
With the nearest neighbours (Å) after each atom.
Atoms (fractional coordinates):
Li: 0.0000 0.0000 0.1130  4 Cu 2.63, 4 Ag 2.72, 1 Li 2.84
Li: 0.0000 0.0000 0.3698  8 Ag 2.75-2.76
Li: 0.0000 0.0000 0.6302  8 Ag 2.75-2.76
Li: 0.0000 0.0000 0.8870  4 Cu 2.63, 4 Ag 2.72, 1 Li 2.84
Cu: 0.5000 0.5000 0.0000  8 Li 2.63
Ag: 0.5000 0.5000 0.2388  8 Li 2.72-2.76, 1 Cu 3.00
Ag: 0.5000 0.5000 0.5000  8 Li 2.75
Ag: 0.5000 0.5000 0.7612  8 Li 2.72-2.76, 1 Cu 3.00

Summary:
DFT formation energy = -15.2 kJ per mole of atoms
Energy = -2.70 eV per atom

***

[5]
DFT (PBE-GGA) results for Li2CuAg5 after structural relaxation.

Cell lengths 5.7448, 11.4158, 3.9923 Å; angles 90.00, 90.00, 90.00 degrees
With the nearest neighbours (Å) after each atom.
Atoms (fractional coordinates):
Li: 0.2273 0.1270 0.0000  10 Ag 2.77-2.94, 2 Cu 2.92
Li: 0.2727 0.6270 0.0000  10 Ag 2.77-2.94, 2 Cu 2.92
Li: 0.7273 0.3730 0.0000  10 Ag 2.77-2.94, 2 Cu 2.92
Li: 0.7727 0.8730 0.0000  10 Ag 2.77-2.94, 2 Cu 2.92
Cu: 0.0000 0.5000 0.5000  8 Ag 2.70-2.87, 4 Li 2.92
Cu: 0.5000 0.0000 0.5000  8 Ag 2.70-2.87, 4 Li 2.92
Ag: 0.0000 0.0000 0.5000  4 Li 2.79, 2 Cu 2.87, 6 Ag 2.88-2.92
Ag: 0.0330 0.7446 0.5000  4 Li 2.77-2.89, 1 Cu 2.80, 7 Ag 2.87-2.93
Ag: 0.2194 0.3846 0.0000  2 Cu 2.70, 4 Li 2.78-2.94, 6 Ag 2.87-2.93
Ag: 0.2806 0.8846 0.0000  2 Cu 2.70, 4 Li 2.78-2.94, 6 Ag 2.87-2.93
Ag: 0.4670 0.2446 0.5000  4 Li 2.77-2.89, 1 Cu 2.80, 7 Ag 2.87-2.93
Ag: 0.5000 0.5000 0.5000  4 Li 2.79, 2 Cu 2.87, 6 Ag 2.88-2.92
Ag: 0.5330 0.7554 0.5000  4 Li 2.77-2.89, 1 Cu 2.80, 7 Ag 2.87-2.93
Ag: 0.7194 0.1154 0.0000  2 Cu 2.70, 4 Li 2.78-2.94, 6 Ag 2.87-2.93
Ag: 0.7806 0.6154 0.0000  2 Cu 2.70, 4 Li 2.78-2.94, 6 Ag 2.87-2.93
Ag: 0.9670 0.2554 0.5000  4 Li 2.77-2.89, 1 Cu 2.80, 7 Ag 2.87-2.93

Summary:
DFT formation energy = -8.4 kJ per mole of atoms
Distance to the lowest polymorph of the same formula = 0 meV/atom
Energy = -2.86 eV per atom

***

[6]
DFT (PBE-GGA) results for LiLuCuAg after structural relaxation.

Cell lengths 4.7188, 4.7188, 4.7188 Å; angles 60.00, 60.00, 60.00 degrees
With the nearest neighbours (Å) after each atom.
Atoms (fractional coordinates):
Li: 0.0000 0.0000 0.0000  4 Cu 2.89, 4 Ag 2.89
Lu: 0.5000 0.5000 0.5000  4 Cu 2.89, 4 Ag 2.89
Cu: 0.2500 0.2500 0.2500  4 Li 2.89, 4 Lu 2.89
Ag: 0.7500 0.7500 0.7500  4 Li 2.89, 4 Lu 2.89

Summary:
DFT formation energy = -13.6 kJ per mole of atoms
Energy = -3.49 eV per atom

***

[7]
DFT (PBE-GGA) results for Li2Mg2Cu2Ag after structural relaxation.

Cell lengths 4.6361, 4.6361, 6.5768 Å; angles 101.83, 101.83, 53.52 degrees
With the nearest neighbours (Å) after each atom.
Atoms (fractional coordinates):
Li: 0.0745 0.0745 0.1883  1 Li 2.50, 3 Cu 2.67-2.72, 3 Mg 2.74-2.75
Li: 0.9255 0.9255 0.8117  1 Li 2.50, 3 Cu 2.67-2.72, 3 Mg 2.74-2.75
Mg: 0.2129 0.2129 0.6713  3 Cu 2.65-2.84, 3 Li 2.74-2.75, 3 Ag 2.80-2.85
Mg: 0.7871 0.7871 0.3287  3 Cu 2.65-2.84, 3 Li 2.74-2.75, 3 Ag 2.80-2.85
Cu: 0.3632 0.3632 0.0729  3 Mg 2.65-2.84, 3 Cu 2.65-2.82, 5 Li 2.67-2.82, 1 Ag 2.78
Cu: 0.6368 0.6368 0.9271  3 Mg 2.65-2.84, 3 Cu 2.65-2.82, 5 Li 2.67-2.82, 1 Ag 2.78
Ag: 0.5000 0.5000 0.5000  2 Cu 2.78, 6 Mg 2.80-2.85, 4 Li 3.09

Summary:
DFT formation energy = -9.6 kJ per mole of atoms
Energy = -2.68 eV per atom

***

[8]
DFT (PBE-GGA) results for Li5Mg2CuAg2 after structural relaxation.

Cell lengths 10.1130, 10.1130, 3.4957 Å; angles 90.00, 90.00, 90.00 degrees
With the nearest neighbours (Å) after each atom.
Atoms (fractional coordinates):
Li: 0.0000 0.5000 0.0000  4 Ag 2.57
Li: 0.0599 0.1848 0.0000  2 Cu 2.63, 2 Ag 2.65, 2 Li 2.78
Li: 0.1848 0.9401 0.0000  2 Cu 2.63, 2 Ag 2.65, 2 Li 2.78
Li: 0.3152 0.4401 0.0000  2 Cu 2.63, 2 Ag 2.65, 2 Li 2.78
Li: 0.4401 0.6848 0.0000  2 Cu 2.63, 2 Ag 2.65, 2 Li 2.78
Li: 0.5000 0.0000 0.0000  4 Ag 2.57
Li: 0.5599 0.3152 0.0000  2 Cu 2.63, 2 Ag 2.65, 2 Li 2.78
Li: 0.6848 0.5599 0.0000  2 Cu 2.63, 2 Ag 2.65, 2 Li 2.78
Li: 0.8152 0.0599 0.0000  2 Cu 2.63, 2 Ag 2.65, 2 Li 2.78
Li: 0.9401 0.8152 0.0000  2 Cu 2.63, 2 Ag 2.65, 2 Li 2.78
Mg: 0.1699 0.6699 0.5000  3 Ag 2.83-3.08, 2 Li 2.99
Mg: 0.3301 0.1699 0.5000  3 Ag 2.83-3.08, 2 Li 2.99
Mg: 0.6699 0.8301 0.5000  3 Ag 2.83-3.08, 2 Li 2.99
Mg: 0.8301 0.3301 0.5000  3 Ag 2.83-3.08, 2 Li 2.99
Cu: 0.0000 0.0000 0.5000  8 Li 2.63
Cu: 0.5000 0.5000 0.5000  8 Li 2.63
Ag: 0.1322 0.3678 0.5000  6 Li 2.57-2.65, 1 Mg 2.83
Ag: 0.3678 0.8678 0.5000  6 Li 2.57-2.65, 1 Mg 2.83
Ag: 0.6322 0.1322 0.5000  6 Li 2.57-2.65, 1 Mg 2.83
Ag: 0.8678 0.6322 0.5000  6 Li 2.57-2.65, 1 Mg 2.83

Summary:
DFT formation energy = -5.9 kJ per mole of atoms
Energy = -2.32 eV per atom